CdGa2Ge after structural relaxation. Source: the Open Quantum Materials Database, functional PBE.

Summary:
final energy = -2.76 eV/atom

Lattice parameters (Å, degrees): 6.8801 6.8801 6.8801 90.00 90.00 90.00
Atoms (fractional coordinates):
Cd1 0.0000 0.0000 0.0000
Cd2 0.0000 0.5000 0.5000
Cd3 0.5000 0.0000 0.5000
Cd4 0.5000 0.5000 0.0000
Ga1 0.0000 0.0000 0.5000
Ga2 0.0000 0.5000 0.0000
Ga3 0.2500 0.2500 0.2500
Ga4 0.2500 0.7500 0.7500
Ga5 0.5000 0.0000 0.0000
Ga6 0.5000 0.5000 0.5000
Ga7 0.7500 0.2500 0.7500
Ga8 0.7500 0.7500 0.2500
Ge1 0.2500 0.2500 0.7500
Ge2 0.2500 0.7500 0.2500
Ge3 0.7500 0.2500 0.2500
Ge4 0.7500 0.7500 0.7500